## MgV2ZnO6 (PBE with a Hubbard U)

Data for an optimized crystal structure of MgV2ZnO6.

```
MgV2ZnO6
1.0
4.953 -4.540 0.000
4.953 4.540 0.000
-0.865 0.000 5.232
Mg V Zn O
2 4 2 12
direct
0.089 0.911 0.750 Mg
0.911 0.089 0.250 Mg
0.200 0.399 0.709 V
0.399 0.200 0.209 V
0.601 0.800 0.791 V
0.800 0.601 0.291 V
0.276 0.724 0.250 Zn
0.724 0.276 0.750 Zn
0.027 0.203 0.623 O
0.143 0.630 0.888 O
0.203 0.027 0.123 O
0.289 0.433 0.391 O
0.370 0.857 0.612 O
0.433 0.289 0.891 O
0.567 0.711 0.109 O
0.630 0.143 0.388 O
0.711 0.567 0.609 O
0.797 0.973 0.877 O
0.857 0.370 0.112 O
0.973 0.797 0.377 O
```

The calculation puts the calculated total energy at -6.71 eV/atom. Its calculated density is 4.1 Mg/m³. Its space group is C2/c.